Below is K3Au3Br8 after structural relaxation, with properties calculated at the PBEsol level.

Summary:
- Crystal system: monoclinic
- E_form (uncorrected): -0.829 eV per atom

Cell and atoms, written as CIF:
```
data_K3Au3Br8
_cell_length_a 11.7933
_cell_length_b 7.8377
_cell_length_c 18.3605
_cell_angle_alpha 90.00
_cell_angle_beta 99.34
_cell_angle_gamma 90.00
_space_group_name_H-M_alt 'C 1 2/c 1'
_space_group_IT_number 15
_space_group_name_Hall '-C 2yc'
loop_
_atom_site_label
_atom_site_fract_x
_atom_site_fract_y
_atom_site_fract_z
K1 0.0000 0.0257 0.2500
K2 0.1800 0.4726 0.0738
Au1 0.0000 0.0000 0.0000
Au2 0.1034 0.4928 0.8040
Br1 0.0178 0.2812 0.8745
Br2 0.0743 0.2230 0.4243
Br3 0.1954 0.0357 0.0747
Br4 0.2070 0.3029 0.2407
```

---

Below is Y2SCl after structural relaxation, with properties calculated at the PBEsol level.

Summary:
- Crystal system: tetragonal
- E_form (uncorrected): -1.292 eV per atom

Cell and atoms, written as CIF:
```
data_Y2SCl
_cell_length_a 6.0784
_cell_length_b 6.0784
_cell_length_c 12.1422
_cell_angle_alpha 90.00
_cell_angle_beta 90.00
_cell_angle_gamma 90.00
_space_group_name_H-M_alt 'I -4 2 d'
_space_group_IT_number 122
_space_group_name_Hall 'I -4 2bw'
loop_
_atom_site_label
_atom_site_fract_x
_atom_site_fract_y
_atom_site_fract_z
Y1 0.2361 0.2500 0.1250
S1 0.0000 0.0000 0.0000
Cl1 0.0000 0.0000 0.5000
```

---

Below is GaFePb2N after structural relaxation, with properties calculated at the PBEsol level.

Summary:
- Crystal system: tetragonal
- E_form (uncorrected): 1.683 eV per atom

Cell and atoms, written as CIF:
```
data_GaFePb2N
_cell_length_a 5.3034
_cell_length_b 5.3034
_cell_length_c 4.5000
_cell_angle_alpha 90.00
_cell_angle_beta 90.00
_cell_angle_gamma 90.00
_space_group_name_H-M_alt 'P 4/m m m'
_space_group_IT_number 123
_space_group_name_Hall '-P 4 2'
loop_
_atom_site_label
_atom_site_fract_x
_atom_site_fract_y
_atom_site_fract_z
Ga1 0.0000 0.0000 0.0000
Fe1 0.0000 0.0000 0.5000
Pb1 0.0000 0.5000 0.0000
N1 0.5000 0.5000 0.5000
```

---

Below is PtRhAu2 after structural relaxation, with properties calculated at the PBEsol level.

Summary:
- Crystal system: orthorhombic
- Formation energy from the elements: 0.18 eV per atom

Cell and atoms, written as CIF:
```
data_PtRhAu2
_cell_length_a 2.7868
_cell_length_b 4.7552
_cell_length_c 9.4851
_cell_angle_alpha 90.00
_cell_angle_beta 90.00
_cell_angle_gamma 90.00
_space_group_name_H-M_alt 'I m m 2'
_space_group_IT_number 44
_space_group_name_Hall 'I 2 -2'
loop_
_atom_site_label
_atom_site_fract_x
_atom_site_fract_y
_atom_site_fract_z
Pt1 0.0000 0.0000 0.0000
Rh1 0.0000 0.5000 0.7345
Au1 0.0000 0.0000 0.4858
Au2 0.0000 0.5000 0.2459
```

---

Below is SrSn3Ir after structural relaxation, with properties calculated at the PBEsol level.

Summary:
- Crystal system: cubic
- Formation energy from the elements: 1.99 eV per atom

Cell and atoms, written as CIF:
```
data_SrSn3Ir
_cell_length_a 5.5541
_cell_length_b 5.5541
_cell_length_c 5.5541
_cell_angle_alpha 90.00
_cell_angle_beta 90.00
_cell_angle_gamma 90.00
_space_group_name_H-M_alt 'P m -3 m'
_space_group_IT_number 221
_space_group_name_Hall '-P 4 2 3'
loop_
_atom_site_label
_atom_site_fract_x
_atom_site_fract_y
_atom_site_fract_z
Sr1 0.0000 0.0000 0.0000
Sn1 0.0000 0.0000 0.5000
Ir1 0.5000 0.5000 0.5000
```

---

Below is YCuSb2 after structural relaxation, with properties calculated at the PBEsol level.

Summary:
- Crystal system: tetragonal
- E_form (uncorrected): -0.410 eV per atom

Cell and atoms, written as CIF:
```
data_YCuSb2
_cell_length_a 4.6108
_cell_length_b 4.6108
_cell_length_c 4.1083
_cell_angle_alpha 90.00
_cell_angle_beta 90.00
_cell_angle_gamma 90.00
_space_group_name_H-M_alt 'P 4/m m m'
_space_group_IT_number 123
_space_group_name_Hall '-P 4 2'
loop_
_atom_site_label
_atom_site_fract_x
_atom_site_fract_y
_atom_site_fract_z
Y1 0.0000 0.0000 0.0000
Cu1 0.5000 0.5000 0.0000
Sb1 0.0000 0.5000 0.5000
```

---

Below is ZrTc2Br after structural relaxation, with properties calculated at the PBEsol level.

Summary:
- Crystal system: orthorhombic
- E_form (uncorrected): 0.334 eV per atom

Cell and atoms, written as CIF:
```
data_ZrTc2Br
_cell_length_a 3.1567
_cell_length_b 4.2049
_cell_length_c 5.4833
_cell_angle_alpha 90.00
_cell_angle_beta 90.00
_cell_angle_gamma 90.00
_space_group_name_H-M_alt 'P m m m'
_space_group_IT_number 47
_space_group_name_Hall '-P 2 2'
loop_
_atom_site_label
_atom_site_fract_x
_atom_site_fract_y
_atom_site_fract_z
Zr1 0.0000 0.0000 0.0000
Tc1 0.5000 0.5000 0.2019
Br1 0.0000 0.0000 0.5000
```

---

Below is ZnIn3Rh after structural relaxation, with properties calculated at the PBEsol level.

Summary:
- Crystal system: cubic
- Formation energy from the elements: 0.79 eV per atom

Cell and atoms, written as CIF:
```
data_ZnIn3Rh
_cell_length_a 4.8803
_cell_length_b 4.8803
_cell_length_c 4.8803
_cell_angle_alpha 90.00
_cell_angle_beta 90.00
_cell_angle_gamma 90.00
_space_group_name_H-M_alt 'P m -3 m'
_space_group_IT_number 221
_space_group_name_Hall '-P 4 2 3'
loop_
_atom_site_label
_atom_site_fract_x
_atom_site_fract_y
_atom_site_fract_z
Zn1 0.0000 0.0000 0.0000
In1 0.0000 0.0000 0.5000
Rh1 0.5000 0.5000 0.5000
```

---

Below is LiMnSi after structural relaxation, with properties calculated at the PBEsol level.

Summary:
- Crystal system: cubic
- E_form (uncorrected): 0.172 eV per atom

Cell and atoms, written as CIF:
```
data_LiMnSi
_cell_length_a 5.6521
_cell_length_b 5.6521
_cell_length_c 5.6521
_cell_angle_alpha 90.00
_cell_angle_beta 90.00
_cell_angle_gamma 90.00
_space_group_name_H-M_alt 'F -4 3 m'
_space_group_IT_number 216
_space_group_name_Hall 'F -4 2 3'
loop_
_atom_site_label
_atom_site_fract_x
_atom_site_fract_y
_atom_site_fract_z
Li1 0.0000 0.0000 0.0000
Mn1 0.0000 0.0000 0.5000
Si1 0.2500 0.2500 0.7500
```

---

Below is Ca2FeN2 after structural relaxation, with properties calculated at the PBEsol level.

Summary:
- Crystal system: monoclinic
- E_form (uncorrected): -0.832 eV per atom

Cell and atoms, written as CIF:
```
data_Ca2FeN2
_cell_length_a 10.6849
_cell_length_b 4.9130
_cell_length_c 6.5672
_cell_angle_alpha 90.00
_cell_angle_beta 121.08
_cell_angle_gamma 90.00
_space_group_name_H-M_alt 'C 1 2/m 1'
_space_group_IT_number 12
_space_group_name_Hall '-C 2y'
loop_
_atom_site_label
_atom_site_fract_x
_atom_site_fract_y
_atom_site_fract_z
Ca1 0.0386 0.0000 0.2745
Ca2 0.1811 0.5000 0.1073
Fe1 0.1268 0.5000 0.6288
N1 0.0189 0.5000 0.3019
N2 0.1910 0.0000 0.1203
```

---

Below is Re2HgW after structural relaxation, with properties calculated at the PBEsol level.

Summary:
- Crystal system: trigonal
- Formation energy from the elements: 0.37 eV per atom

Cell and atoms, written as CIF:
```
data_Re2HgW
_cell_length_a 2.8110
_cell_length_b 2.8110
_cell_length_c 28.2216
_cell_angle_alpha 90.00
_cell_angle_beta 90.00
_cell_angle_gamma 120.00
_space_group_name_H-M_alt 'R 3 m'
_space_group_IT_number 160
_space_group_name_Hall 'R 3 -2"'
loop_
_atom_site_label
_atom_site_fract_x
_atom_site_fract_y
_atom_site_fract_z
Re1 0.0000 0.0000 0.0000
Re2 0.0000 0.0000 0.2593
Hg1 0.0000 0.0000 0.5035
W1 0.0000 0.0000 0.7471
```

---

Below is CsHgSbSe3 after structural relaxation, with properties calculated at the PBEsol level.

Summary:
- Crystal system: orthorhombic
- E_form (uncorrected): -0.536 eV per atom

Cell and atoms, written as CIF:
```
data_CsHgSbSe3
_cell_length_a 4.2499
_cell_length_b 15.6435
_cell_length_c 11.1662
_cell_angle_alpha 90.00
_cell_angle_beta 90.00
_cell_angle_gamma 90.00
_space_group_name_H-M_alt 'C m c 21'
_space_group_IT_number 36
_space_group_name_Hall 'C 2c -2'
loop_
_atom_site_label
_atom_site_fract_x
_atom_site_fract_y
_atom_site_fract_z
Cs1 0.0000 0.2428 0.0000
Hg1 0.0000 0.0516 0.5048
Sb1 0.0000 0.4959 0.2548
Se1 0.0000 0.1212 0.2909
Se2 0.0000 0.1258 0.7126
Se3 0.0000 0.4421 0.4851
```

---

Number 1: electronic total energy -166.941 eV/cell. Number 2: electronic total energy -100.814 eV/cell. Number 3: electronic total energy -20.413 eV/cell. Number 4: electronic total energy -44.499 eV/cell. Number 5: electronic total energy -14.482 eV/cell. Number 6: electronic total energy -21.910 eV/cell. Number 7: electronic total energy -32.156 eV/cell. Number 8: electronic total energy -14.711 eV/cell. Number 9: electronic total energy -67.830 eV/cell. Number 10: electronic total energy -137.768 eV/cell. Number 11: electronic total energy -118.662 eV/cell. Number 12: electronic total energy -83.327 eV/cell.